Entry 1:
! Pm2Ni4HgGe3, relaxed, DFT PBE; values from VASP
! * total energy: -5.22 eV per atom
! * formation enthalpy at 0 K: -541 meV/atom
! * total magnetization: 0.00 μB per formula unit
! * Fermi-level density of states: 7.2 states/eV/cell
&SYSTEM
  ibrav = 0, nat = 10, ntyp = 4
/
ATOMIC_SPECIES
Pm 145.00 Pm.upf
Ni 58.69 Ni.upf
Hg 200.59 Hg.upf
Ge 72.64 Ge.upf
ATOMIC_POSITIONS angstrom
Pm 0.000 2.097 2.393
Pm 2.097 0.000 7.566
Ni 0.000 0.000 0.000
Ni 0.000 2.097 6.437
Ni 2.097 0.000 3.523
Ni 2.097 2.097 0.000
Hg 0.000 0.000 4.980
Ge 0.000 2.097 8.763
Ge 2.097 0.000 1.197
Ge 2.097 2.097 4.980
CELL_PARAMETERS angstrom
4.193 0.000 0.000
0.000 4.193 0.000
0.000 0.000 9.960

Entry 2:
! HoTiCu2, relaxed, DFT PBE; values from VASP
! * total energy: -5.27 eV per atom
! * formation enthalpy at 0 K: -103 meV/atom
! * total magnetization: 1.01 μB per formula unit
! * Fermi-level density of states: 4.1 states/eV/cell
! * energy above the most stable polymorph in this dataset: 0.000 eV per atom
&SYSTEM
  ibrav = 0, nat = 4, ntyp = 3
/
ATOMIC_SPECIES
Ho 164.93 Ho.upf
Ti 47.87 Ti.upf
Cu 63.55 Cu.upf
ATOMIC_POSITIONS angstrom
Ho 0.000 0.000 0.000
Ti 0.000 0.000 3.301
Cu 1.624 1.624 1.945
Cu 1.624 1.624 4.658
CELL_PARAMETERS angstrom
3.249 0.000 0.000
0.000 3.249 0.000
0.000 0.000 6.603

Entry 3:
! Na4Nd3ZrTe8, relaxed, DFT PBE; values from VASP
! * energy relative to the elements, uncorrected: -1.200 eV per atom
! * total energy: -4.53 eV per atom
! * total magnetization: 0.30 μB per formula unit
! * Fermi-level density of states: 4.8 states/eV/cell
&SYSTEM
  ibrav = 0, nat = 16, ntyp = 4
/
ATOMIC_SPECIES
Na 22.99 Na.upf
Nd 144.24 Nd.upf
Zr 91.22 Zr.upf
Te 127.60 Te.upf
ATOMIC_POSITIONS angstrom
Na 0.000 0.000 0.000
Na -2.219 -1.281 7.627
Na -2.219 1.281 15.253
Na 0.000 2.562 7.627
Nd -4.438 0.000 11.440
Nd -2.219 1.281 3.813
Nd 2.219 1.281 3.813
Zr 0.000 0.000 11.440
Te 0.000 0.000 5.675
Te -2.098 -1.211 13.218
Te 0.000 -2.422 9.661
Te -2.098 1.211 9.661
Te 2.098 -1.211 13.218
Te 0.000 2.422 13.218
Te 2.098 1.211 9.661
Te 0.000 0.000 17.205
CELL_PARAMETERS angstrom
4.438 2.562 7.627
-4.438 2.562 7.627
0.000 -5.125 7.627

Entry 4:
! YCuAg, relaxed, DFT PBE; values from VASP
! * total energy: -4.69 eV per atom
! * formation enthalpy at 0 K: -215 meV/atom
! * total magnetization: 0.00 μB per formula unit
! * Fermi-level density of states: 2.8 states/eV/cell
! * energy above the most stable polymorph in this dataset: 0.065 eV per atom
&SYSTEM
  ibrav = 0, nat = 6, ntyp = 3
/
ATOMIC_SPECIES
Y 88.91 Y.upf
Cu 63.55 Cu.upf
Ag 107.87 Ag.upf
ATOMIC_POSITIONS angstrom
Y 0.000 0.000 0.000
Y 1.809 1.809 4.574
Cu 0.000 0.000 6.111
Cu 1.809 1.809 1.538
Ag 0.000 0.000 2.923
Ag 1.809 1.809 7.496
CELL_PARAMETERS angstrom
3.618 0.000 0.000
0.000 3.618 0.000
0.000 0.000 9.147

Entry 5:
! TbErInSn, relaxed, DFT PBE; values from VASP
! * total energy: -4.48 eV per atom
! * formation enthalpy at 0 K: -493 meV/atom
! * total magnetization: 0.00 μB per formula unit
! * Fermi-level density of states: 12.1 states/eV/cell
&SYSTEM
  ibrav = 0, nat = 16, ntyp = 4
/
ATOMIC_SPECIES
Tb 158.93 Tb.upf
Er 167.26 Er.upf
In 114.82 In.upf
Sn 118.71 Sn.upf
ATOMIC_POSITIONS angstrom
Tb 0.000 0.000 0.000
Tb 0.000 3.764 3.764
Tb 3.764 0.000 3.764
Tb 3.764 3.764 0.000
Er 0.000 0.000 3.764
Er 0.000 3.764 0.000
Er 3.764 0.000 0.000
Er 3.764 3.764 3.764
In 1.882 1.882 1.882
In 1.882 5.645 5.645
In 5.645 1.882 5.645
In 5.645 5.645 1.882
Sn 1.882 1.882 5.645
Sn 1.882 5.645 1.882
Sn 5.645 1.882 1.882
Sn 5.645 5.645 5.645
CELL_PARAMETERS angstrom
7.527 0.000 0.000
0.000 7.527 0.000
0.000 0.000 7.527

Entry 6:
! Hf2PPt, relaxed, DFT PBE; values from VASP
! * total energy: -8.50 eV per atom
! * formation enthalpy at 0 K: -662 meV/atom
! * total magnetization: 0.00 μB per formula unit
! * Fermi-level density of states: 10.1 states/eV/cell
&SYSTEM
  ibrav = 0, nat = 16, ntyp = 3
/
ATOMIC_SPECIES
Hf 178.49 Hf.upf
P 30.97 P.upf
Pt 195.08 Pt.upf
ATOMIC_POSITIONS angstrom
Hf 1.694 5.304 0.774
Hf 1.768 1.694 5.419
Hf 1.768 1.842 2.323
Hf 1.842 5.304 3.871
Hf 5.230 1.768 3.871
Hf 5.304 5.230 2.323
Hf 5.304 5.378 5.419
Hf 5.378 1.768 0.774
P 0.000 0.000 0.000
P 0.000 3.536 1.548
P 3.536 0.000 4.645
P 3.536 3.536 3.097
Pt 0.000 0.000 3.097
Pt 0.000 3.536 4.645
Pt 3.536 0.000 1.548
Pt 3.536 3.536 0.000
CELL_PARAMETERS angstrom
7.071 0.000 0.000
0.000 7.071 0.000
0.000 0.000 6.194

Entry 7:
! Rb3C, relaxed, DFT PBE; values from VASP
! * total energy: -1.63 eV per atom
! * formation enthalpy at 0 K: 1403 meV/atom
! * total magnetization: 1.11 μB per formula unit
! * Fermi-level density of states: 5.4 states/eV/cell
! * energy above the most stable polymorph in this dataset: 0.324 eV per atom
&SYSTEM
  ibrav = 0, nat = 8, ntyp = 2
/
ATOMIC_SPECIES
Rb 85.47 Rb.upf
C 12.01 C.upf
ATOMIC_POSITIONS angstrom
Rb 0.000 0.000 0.000
Rb 0.000 2.850 2.397
Rb 0.000 2.850 7.190
Rb 2.850 0.000 2.397
Rb 2.850 0.000 7.190
Rb 2.850 2.850 4.794
C 0.000 0.000 4.794
C 2.850 2.850 0.000
CELL_PARAMETERS angstrom
5.699 0.000 0.000
0.000 5.699 0.000
0.000 0.000 9.587

Entry 8:
! KAgCl2, relaxed, DFT PBE; values from VASP
! * energy relative to the elements, uncorrected: -1.033 eV per atom
! * total energy: -2.94 eV per atom
! * total magnetization: 0.00 μB per formula unit
! * Fermi-level density of states: 0.0 states/eV/cell
&SYSTEM
  ibrav = 0, nat = 4, ntyp = 3
/
ATOMIC_SPECIES
K 39.10 K.upf
Ag 107.87 Ag.upf
Cl 35.45 Cl.upf
ATOMIC_POSITIONS angstrom
K 0.000 0.000 0.000
Ag 0.000 0.000 3.657
Cl 1.798 1.798 1.959
Cl 1.798 1.798 5.356
CELL_PARAMETERS angstrom
3.596 0.000 0.000
0.000 3.596 0.000
0.000 0.000 7.314